(1)
# La8TlGe3I4

A geometry-optimized La8TlGe3I4 structure (PBE, Alexandria).

Values from the calculation:
Fermi-level density of states	7.8	states/eV/f.u.
DFT total energy	-233.1	eV per cell
M_tot	0.0000	μB/atom
ΔE_f (raw)	-1530	kJ/mol of formula units

Unit cell a=9.0838 b=9.0838 c=22.9255 alpha=90.00 beta=90.00 gamma=120.00
Space group R-3m (No. 166, hexagonal axes)
Unique sites:
1 La 0.0000 0.0000 0.2348 x6
2 La 0.0109 0.5054 0.7624 x18
3 Tl 0.0000 0.0000 0.5000 x3
4 Ge 0.0000 0.5000 0.5000 x9
5 I 0.0000 0.0000 0.0000 x3
6 I 0.0000 0.5000 0.0000 x9

***

(2)
# La6TlGe2I3

A geometry-optimized La6TlGe2I3 structure (PBE, Alexandria).

Values from the calculation:
Fermi-level density of states	7.1	states/eV/f.u.
DFT total energy	-114.7	eV per cell
M_tot	0.0000	μB/atom
ΔE_f (raw)	-1112	kJ/mol of formula units

Unit cell a=20.158 b=4.502 c=9.366 alpha=90.00 beta=104.25 gamma=90.00
Space group C2/m (No. 12)
Unique sites:
1 La 0.013 0.000 0.247 x4
2 La 0.164 0.500 0.119 x4
3 La 0.177 0.500 0.562 x4
4 Tl 0.000 0.500 0.000 x2
5 Ge 0.168 0.000 0.338 x4
6 I 0.000 0.500 0.500 x2
7 I 0.164 0.000 0.834 x4

***

(3)
# LaVGe2I

A geometry-optimized LaVGe2I structure (PBE, Alexandria).

Values from the calculation:
Fermi-level density of states	12.1	states/eV/f.u.
DFT total energy	-17.7	eV per cell
M_tot	0.0360	μB/atom
ΔE_f (raw)	688	kJ/mol of formula units

Unit cell a=5.782 b=5.782 c=5.791 alpha=90.00 beta=90.00 gamma=90.00
Space group P4/mmm (No. 123)
Unique sites:
1 La 0.000 0.000 0.000 x1
2 V 0.000 0.000 0.500 x1
3 Ge 0.000 0.500 0.000 x2
4 I 0.500 0.500 0.500 x1

***

(4)
# La8Zn3GeI4

A geometry-optimized La8Zn3GeI4 structure (PBE, Alexandria).

Values from the calculation:
Fermi-level density of states	16.5	states/eV/f.u.
DFT total energy	-196.9	eV per cell
M_tot	0.0000	μB/atom
ΔE_f (raw)	-1115	kJ/mol of formula units

Unit cell a=8.9298 b=8.9298 c=22.9729 alpha=90.00 beta=90.00 gamma=120.00
Space group R-3m (No. 166, hexagonal axes)
Unique sites:
1 La 0.0000 0.0000 0.2406 x6
2 La 0.0052 0.5026 0.2388 x18
3 Zn 0.0000 0.5000 0.5000 x9
4 Ge 0.0000 0.0000 0.5000 x3
5 I 0.0000 0.0000 0.0000 x3
6 I 0.0000 0.5000 0.0000 x9